The following is a PBE-GGA calculation of an optimized crystal structure of Ba3NaIn, from Alexandria via LeMat-Bulk.

Results
* energy above the lowest structure with this stoichiometry: 20 meV/atom
* crystal system: cubic
* total magnetization: 0.01 μB/cell

Geometry as POSCAR:
```
Ba3NaIn
1.0
8.860 0.000 0.000
0.000 8.860 0.000
0.000 0.000 8.860
Ba Na In
9 3 3
Direct
0.000 0.000 0.000
0.272 0.272 0.272
0.272 0.272 0.728
0.272 0.728 0.272
0.272 0.728 0.728
0.728 0.272 0.272
0.728 0.272 0.728
0.728 0.728 0.272
0.728 0.728 0.728
0.000 0.000 0.500
0.000 0.500 0.000
0.500 0.000 0.000
0.000 0.500 0.500
0.500 0.000 0.500
0.500 0.500 0.000
```